Run P
The following is a DFT calculation (GGA-PBE) of a relaxed structure of NaLiB3.

Results
M_tot   0.0 μB/f.u.
D(E_F)   1.56 states/eV/cell

abc: 3.965 3.965 3.965
angles: 90.00 90.00 90.00
Atoms (fractional coordinates):
B 0.000 0.000 0.500
Na 0.500 0.500 0.500
B 0.500 0.000 0.000
B 0.000 0.500 0.000
Li 0.000 0.000 0.000

***

Run Q
The following is a DFT calculation (GGA-PBE) of a relaxed structure of NaLiB3.

Results
M_tot   0.0 μB/f.u.
D(E_F)   1.96 states/eV/cell

abc: 4.508 4.508 4.508
angles: 90.00 90.00 90.00
Atoms (fractional coordinates):
Li 0.500 0.500 0.500
B 0.000 0.000 0.500
B 0.500 0.000 0.000
Na 0.000 0.000 0.000
B 0.000 0.500 0.000

***

Of them, run P has the highest stability.

***

Run P
The following is a DFT calculation (GGA-PBE) of a relaxed structure of NaLiBPd2.

Results
M_tot   0.0 μB/f.u.
D(E_F)   0.98 states/eV/cell

abc: 4.118 4.118 4.836
angles: 90.00 90.00 90.00
Atoms (fractional coordinates):
Pd 0.000 0.500 0.000
Na 0.000 0.000 0.500
B 0.000 0.000 0.000
Pd 0.500 0.000 0.000
Li 0.500 0.500 0.500

***

Run Q
The following is a DFT calculation (GGA-PBE) of a relaxed structure of NaLiBPd2.

Results
M_tot   0.0 μB/f.u.
D(E_F)   1.20 states/eV/cell

abc: 4.137 4.137 4.543
angles: 90.00 90.00 90.00
Atoms (fractional coordinates):
Li 0.000 0.000 0.500
B 0.000 0.000 0.000
Pd 0.000 0.500 0.000
Pd 0.500 0.000 0.000
Na 0.500 0.500 0.500

***

Of them, run Q has the highest stability.

***

Run P
The following is a DFT calculation (GGA-PBE) of a relaxed structure of LiNbB.

Results
M_tot   0.0 μB/f.u.
D(E_F)   6.35 states/eV/cell

abc: 6.769 2.999 8.331
angles: 90.00 96.07 90.00
Atoms (fractional coordinates):
Li 0.428 0.000 0.151
B 0.741 0.000 0.157
Li 0.284 0.000 0.415
Nb 0.734 0.000 0.873
Li 0.428 0.500 0.651
Nb 0.734 0.500 0.373
Li 0.284 0.500 0.915
B 0.666 0.500 0.081
B 0.741 0.500 0.657
Nb 0.017 0.000 0.658
Nb 0.017 0.500 0.158
B 0.666 0.000 0.581

***

Run Q
The following is a DFT calculation (GGA-PBE) of a relaxed structure of LiNbB.

Results
M_tot   0.0 μB/f.u.
D(E_F)   6.99 states/eV/cell

abc: 3.008 3.304 16.500
angles: 90.00 90.00 90.00
Atoms (fractional coordinates):
Li 0.000 0.000 0.647
Nb 0.000 0.500 0.397
Nb 0.500 0.500 0.778
Nb 0.500 0.000 0.278
Li 0.500 0.000 0.045
Li 0.500 0.500 0.545
B 0.500 0.500 0.944
B 0.000 0.500 0.994
Nb 0.000 0.000 0.897
B 0.500 0.000 0.444
B 0.000 0.000 0.494
Li 0.000 0.500 0.147

***

Of them, run Q has the highest stability.